## AcIn2WO8 (PBE+U)

Data for an optimized crystal structure of AcIn2WO8.

POSCAR file:
```
AcIn2WO8
1.0
3.4790 -3.4991 0.0000
3.4790 3.4991 0.0000
0.0000 0.0000 7.0726
Ac In W O
1 2 1 8
direct
0.0000 0.0000 0.0000
0.5000 0.5000 0.2700
0.5000 0.5000 0.7300
0.0000 0.0000 0.5000
0.1904 0.1904 0.2991
0.1904 0.1904 0.7009
0.2840 0.7160 0.5000
0.3336 0.6664 0.0000
0.6664 0.3336 0.0000
0.7160 0.2840 0.5000
0.8096 0.8096 0.2991
0.8096 0.8096 0.7009
```

Values from the calculation:
E ... -0.245 hartree per atom
Total moment ... 0.38 μB per formula unit
Volume ... 14.35 A^3/atom
Theoretical density ... 7.4 g/cm3